Entry 1:
This record from the Alexandria database describes a geometry-optimized ZrBeRh3 structure. The functional is PBE.

Computed properties:
Energy relative to the lowest polymorph listed for this composition (eV per atom): 1.7761
Space-group type: Pm-3m (221)

CIF file:
```
data_ZrBeRh3
_chemical_formula_sum 'Zr1 Be1 Rh3'
_symmetry_space_group_name_H-M 'P 1'
_symmetry_Int_Tables_number 1
_symmetry_space_group_name_Hall 'P 1'
_cell_length_a 4.761
_cell_length_b 4.761
_cell_length_c 4.761
_cell_angle_alpha 90.00
_cell_angle_beta 90.00
_cell_angle_gamma 90.00
loop_
_atom_site_label
_atom_site_type_symbol
_atom_site_fract_x
_atom_site_fract_y
_atom_site_fract_z
Be1 Be 0.500 0.500 0.500
Rh1 Rh 0.000 0.500 0.000
Rh2 Rh 0.000 0.000 0.500
Rh3 Rh 0.500 0.000 0.000
Zr1 Zr 0.000 0.000 0.000
```

***

Entry 2:
This record from the Alexandria database describes a geometry-optimized Zr2BeRh structure. The functional is PBE.

Computed properties:
Space-group type: F-43m (216)

CIF file:
```
data_Zr2BeRh
_chemical_formula_sum 'Zr2 Be1 Rh1'
_symmetry_space_group_name_H-M 'P 1'
_symmetry_Int_Tables_number 1
_symmetry_space_group_name_Hall 'P 1'
_cell_length_a 4.546
_cell_length_b 4.546
_cell_length_c 4.546
_cell_angle_alpha 60.00
_cell_angle_beta 60.00
_cell_angle_gamma 60.00
loop_
_atom_site_label
_atom_site_type_symbol
_atom_site_fract_x
_atom_site_fract_y
_atom_site_fract_z
Be1 Be 0.500 0.500 0.500
Rh1 Rh 0.250 0.250 0.250
Zr1 Zr 0.000 0.000 0.000
Zr2 Zr 0.750 0.750 0.750
```

***

Entry 3:
This record from the Alexandria database describes a geometry-optimized ZrBe2Rh structure. The functional is PBE.

Computed properties:
Energy relative to the lowest polymorph listed for this composition (eV per atom): 0.0185
Space-group type: Fm-3m (225)

CIF file:
```
data_ZrBe2Rh
_chemical_formula_sum 'Zr1 Be2 Rh1'
_symmetry_space_group_name_H-M 'P 1'
_symmetry_Int_Tables_number 1
_symmetry_space_group_name_Hall 'P 1'
_cell_length_a 4.183
_cell_length_b 4.183
_cell_length_c 4.183
_cell_angle_alpha 60.00
_cell_angle_beta 60.00
_cell_angle_gamma 60.00
loop_
_atom_site_label
_atom_site_type_symbol
_atom_site_fract_x
_atom_site_fract_y
_atom_site_fract_z
Be1 Be 0.250 0.250 0.250
Be2 Be 0.750 0.750 0.750
Rh1 Rh 0.500 0.500 0.500
Zr1 Zr 0.000 0.000 0.000
```

***

Entry 4:
This record from the Alexandria database describes a geometry-optimized ZrBe9Rh2 structure. The functional is PBE.

Computed properties:
Energy relative to the lowest polymorph listed for this composition (eV per atom): 0.0042
Space-group type: R-3m (166)

CIF file:
```
data_ZrBe9Rh2
_chemical_formula_sum 'Zr1 Be9 Rh2'
_symmetry_space_group_name_H-M 'P 1'
_symmetry_Int_Tables_number 1
_symmetry_space_group_name_Hall 'P 1'
_cell_length_a 4.422
_cell_length_b 4.422
_cell_length_c 7.475
_cell_angle_alpha 72.79
_cell_angle_beta 72.79
_cell_angle_gamma 60.00
loop_
_atom_site_label
_atom_site_type_symbol
_atom_site_fract_x
_atom_site_fract_y
_atom_site_fract_z
Zr1 Zr 0.000 0.000 0.000
Be1 Be 0.668 0.668 0.997
Be2 Be 0.332 0.332 0.003
Be3 Be 0.500 0.500 0.500
Be4 Be 0.410 0.410 0.262
Be5 Be 0.918 0.410 0.262
Be6 Be 0.410 0.918 0.262
Be7 Be 0.590 0.590 0.738
Be8 Be 0.590 0.082 0.738
Be9 Be 0.082 0.590 0.738
Rh1 Rh 0.862 0.862 0.413
Rh2 Rh 0.138 0.138 0.587
```

***

Entry 5:
This record from the Alexandria database describes a geometry-optimized Zr2Be2Rh structure. The functional is PBE.

Computed properties:
Space-group type: P4/mbm (127)

CIF file:
```
data_Zr2Be2Rh
_chemical_formula_sum 'Zr4 Be4 Rh2'
_symmetry_space_group_name_H-M 'P 1'
_symmetry_Int_Tables_number 1
_symmetry_space_group_name_Hall 'P 1'
_cell_length_a 6.453
_cell_length_b 6.453
_cell_length_c 3.627
_cell_angle_alpha 90.00
_cell_angle_beta 90.00
_cell_angle_gamma 90.00
loop_
_atom_site_label
_atom_site_type_symbol
_atom_site_fract_x
_atom_site_fract_y
_atom_site_fract_z
Be1 Be 0.380 0.880 0.000
Be2 Be 0.880 0.620 0.000
Be3 Be 0.620 0.120 0.000
Be4 Be 0.120 0.380 0.000
Rh1 Rh 0.000 0.000 0.000
Rh2 Rh 0.500 0.500 0.000
Zr1 Zr 0.176 0.676 0.500
Zr2 Zr 0.676 0.824 0.500
Zr3 Zr 0.824 0.324 0.500
Zr4 Zr 0.324 0.176 0.500
```

***

Entry 6:
This record from the Alexandria database describes a geometry-optimized Zr3BeRh2 structure. The functional is PBE.

Computed properties:
Space-group type: Pnma (62)

CIF file:
```
data_Zr3BeRh2
_chemical_formula_sum 'Zr12 Be4 Rh8'
_symmetry_space_group_name_H-M 'P 1'
_symmetry_Int_Tables_number 1
_symmetry_space_group_name_Hall 'P 1'
_cell_length_a 4.233
_cell_length_b 9.273
_cell_length_c 10.917
_cell_angle_alpha 90.00
_cell_angle_beta 90.00
_cell_angle_gamma 90.00
loop_
_atom_site_label
_atom_site_type_symbol
_atom_site_fract_x
_atom_site_fract_y
_atom_site_fract_z
Zr1 Zr 0.250 0.376 0.059
Zr2 Zr 0.750 0.624 0.941
Zr3 Zr 0.750 0.876 0.441
Zr4 Zr 0.250 0.124 0.559
Zr5 Zr 0.250 0.687 0.215
Zr6 Zr 0.750 0.313 0.785
Zr7 Zr 0.750 0.187 0.285
Zr8 Zr 0.250 0.813 0.715
Zr9 Zr 0.250 0.415 0.387
Zr10 Zr 0.750 0.585 0.613
Zr11 Zr 0.750 0.915 0.113
Zr12 Zr 0.250 0.085 0.887
Be1 Be 0.250 0.098 0.133
Be2 Be 0.750 0.902 0.867
Be3 Be 0.750 0.598 0.367
Be4 Be 0.250 0.402 0.633
Rh1 Rh 0.250 0.686 0.474
Rh2 Rh 0.750 0.314 0.526
Rh3 Rh 0.750 0.186 0.026
Rh4 Rh 0.250 0.814 0.974
Rh5 Rh 0.250 0.996 0.323
Rh6 Rh 0.750 0.004 0.677
Rh7 Rh 0.750 0.496 0.177
Rh8 Rh 0.250 0.504 0.823
```

***

Entry 7:
This record from the Alexandria database describes a geometry-optimized Zr2BeRh structure. The functional is PBE.

Computed properties:
Space-group type: Cm (8)

CIF file:
```
data_Zr2BeRh
_chemical_formula_sum 'Zr2 Be1 Rh1'
_symmetry_space_group_name_H-M 'P 1'
_symmetry_Int_Tables_number 1
_symmetry_space_group_name_Hall 'P 1'
_cell_length_a 5.355
_cell_length_b 5.355
_cell_length_c 4.577
_cell_angle_alpha 73.76
_cell_angle_beta 73.76
_cell_angle_gamma 33.16
loop_
_atom_site_label
_atom_site_type_symbol
_atom_site_fract_x
_atom_site_fract_y
_atom_site_fract_z
Be1 Be 0.531 0.531 0.519
Rh1 Rh 0.204 0.204 0.260
Zr1 Zr 0.993 0.993 0.024
Zr2 Zr 0.772 0.772 0.697
```

***

Entry 8:
This record from the Alexandria database describes a geometry-optimized ZrBeRh2 structure. The functional is PBE.

Computed properties:
Space-group type: Immm (71)

CIF file:
```
data_ZrBeRh2
_chemical_formula_sum 'Zr1 Be1 Rh2'
_symmetry_space_group_name_H-M 'P 1'
_symmetry_Int_Tables_number 1
_symmetry_space_group_name_Hall 'P 1'
_cell_length_a 5.520
_cell_length_b 5.520
_cell_length_c 5.520
_cell_angle_alpha 56.42
_cell_angle_beta 150.35
_cell_angle_gamma 133.16
loop_
_atom_site_label
_atom_site_type_symbol
_atom_site_fract_x
_atom_site_fract_y
_atom_site_fract_z
Zr1 Zr 0.000 0.500 0.500
Be1 Be 0.000 0.000 0.000
Rh1 Rh 0.000 0.207 0.207
Rh2 Rh 0.000 0.793 0.793
```

***

Entry 9:
This record from the Alexandria database describes a geometry-optimized ZrBe2Rh structure. The functional is PBE.

Computed properties:
Energy relative to the lowest polymorph listed for this composition (eV per atom): 0.2811
Space-group type: Pmmm (47)

CIF file:
```
data_ZrBe2Rh
_chemical_formula_sum 'Zr1 Be2 Rh1'
_symmetry_space_group_name_H-M 'P 1'
_symmetry_Int_Tables_number 1
_symmetry_space_group_name_Hall 'P 1'
_cell_length_a 3.751
_cell_length_b 3.739
_cell_length_c 3.989
_cell_angle_alpha 90.00
_cell_angle_beta 90.00
_cell_angle_gamma 90.00
loop_
_atom_site_label
_atom_site_type_symbol
_atom_site_fract_x
_atom_site_fract_y
_atom_site_fract_z
Be1 Be 0.000 0.000 0.000
Be2 Be 0.500 0.500 0.000
Rh1 Rh 0.500 0.000 0.500
Zr1 Zr 0.000 0.500 0.500
```

***

Entry 10:
This record from the Alexandria database describes a geometry-optimized ZrBe2Rh structure. The functional is PBE.

Computed properties:
Energy relative to the lowest polymorph listed for this composition (eV per atom): 0.2143
Space-group type: F-43m (216)

CIF file:
```
data_ZrBe2Rh
_chemical_formula_sum 'Zr1 Be2 Rh1'
_symmetry_space_group_name_H-M 'P 1'
_symmetry_Int_Tables_number 1
_symmetry_space_group_name_Hall 'P 1'
_cell_length_a 4.286
_cell_length_b 4.286
_cell_length_c 4.286
_cell_angle_alpha 60.00
_cell_angle_beta 60.00
_cell_angle_gamma 60.00
loop_
_atom_site_label
_atom_site_type_symbol
_atom_site_fract_x
_atom_site_fract_y
_atom_site_fract_z
Be1 Be 0.000 0.000 0.000
Be2 Be 0.250 0.250 0.250
Rh1 Rh 0.500 0.500 0.500
Zr1 Zr 0.750 0.750 0.750
```

***

Entry 11:
This record from the Alexandria database describes a geometry-optimized Zr4BeRh structure. The functional is PBE.

Computed properties:
Energy relative to the lowest polymorph listed for this composition (eV per atom): 0.8762
Space-group type: F-43m (216)

CIF file:
```
data_Zr4BeRh
_chemical_formula_sum 'Zr4 Be1 Rh1'
_symmetry_space_group_name_H-M 'P 1'
_symmetry_Int_Tables_number 1
_symmetry_space_group_name_Hall 'P 1'
_cell_length_a 5.565
_cell_length_b 5.565
_cell_length_c 5.565
_cell_angle_alpha 60.00
_cell_angle_beta 60.00
_cell_angle_gamma 60.00
loop_
_atom_site_label
_atom_site_type_symbol
_atom_site_fract_x
_atom_site_fract_y
_atom_site_fract_z
Zr1 Zr 0.877 0.374 0.374
Zr2 Zr 0.374 0.374 0.877
Zr3 Zr 0.374 0.877 0.374
Zr4 Zr 0.374 0.374 0.374
Be1 Be 0.750 0.750 0.750
Rh1 Rh 0.000 0.000 0.000
```

***

Entry 12:
This record from the Alexandria database describes a geometry-optimized ZrBeRh3 structure. The functional is PBE.

Computed properties:
Energy relative to the lowest polymorph listed for this composition (eV per atom): 0.0000
Space-group type: Pm-3m (221)

CIF file:
```
data_ZrBeRh3
_chemical_formula_sum 'Zr1 Be1 Rh3'
_symmetry_space_group_name_H-M 'P 1'
_symmetry_Int_Tables_number 1
_symmetry_space_group_name_Hall 'P 1'
_cell_length_a 4.177
_cell_length_b 4.177
_cell_length_c 4.177
_cell_angle_alpha 90.00
_cell_angle_beta 90.00
_cell_angle_gamma 90.00
loop_
_atom_site_label
_atom_site_type_symbol
_atom_site_fract_x
_atom_site_fract_y
_atom_site_fract_z
Be1 Be 0.000 0.000 0.000
Rh1 Rh 0.000 0.500 0.000
Rh2 Rh 0.000 0.000 0.500
Rh3 Rh 0.500 0.000 0.000
Zr1 Zr 0.500 0.500 0.500
```

***

Formation energy readings, ordered: 1205.8 -122.6 -416.1 -393.9 -438.2 -544.0 -317.3 -122.0 -153.4 -220.3 548.9 -570.4 meV per atom
Raw total energy readings, ordered: -5.660 -7.166 -6.254 -5.126 -6.818 -7.890 -7.361 -6.866 -5.991 -6.058 -6.996 -7.436 eV/atom